A geometry-optimized Ge2BPt structure, computed with PBE-GGA.

Structure (CIF):
```
data_Ge2BPt
_chemical_formula_sum 'Ge8 B4 Pt4'
_symmetry_space_group_name_H-M 'I -4 2 d'
_symmetry_Int_Tables_number 122
_symmetry_space_group_name_Hall 'I -4 2bw'
_cell_length_a 5.409
_cell_length_b 5.409
_cell_length_c 9.602
_cell_angle_alpha 90.00
_cell_angle_beta 90.00
_cell_angle_gamma 90.00
loop_
_atom_site_label
_atom_site_type_symbol
_atom_site_fract_x
_atom_site_fract_y
_atom_site_fract_z
Ge1 Ge 0.190 0.250 0.125
B1 B 0.000 0.000 0.000
Pt1 Pt 0.000 0.000 0.500
```

Computed properties:
* V: 17.6 Å³/atom
* density of states at the Fermi level: 8.64 states/eV per cell
* uncorrected energy: -5.34 eV per atom